The following is a DFT calculation (PBE-GGA) of a geometry-optimized Cu2SbOs structure.

Output
Space group ... P4/mmm
E_tot ... -5.511 eV per atom
DOS at the Fermi energy ... 0.643 states/eV per atom
Energy relative to the elements, uncorrected ... 0.3747 eV per atom

Lattice parameters (Å, degrees): 3.879 3.879 3.970 90.00 90.00 90.00
Fractional positions:
Cu (0.000, 0.500, 0.000)
Cu (0.500, 0.000, 0.000)
Sb (0.000, 0.000, 0.500)
Os (0.500, 0.500, 0.500)